# CaPtW

CaPtW after structural relaxation (PBE-GGA, Alexandria via LeMat-Bulk).

Summary:
Its spin magnetization is 0.000 μB per atom. For the formation energy, the calculation gives -8 kJ per mole of atoms.

Cell and atoms, written as CIF:
```
data_CaPtW
_cell_length_a 4.352
_cell_length_b 7.871
_cell_length_c 7.335
_cell_angle_alpha 90.00
_cell_angle_beta 90.00
_cell_angle_gamma 90.00
_symmetry_space_group_name_H-M 'I m a 2'
_symmetry_Int_Tables_number 46
_symmetry_space_group_name_Hall 'I 2 -2a'
loop_
_atom_site_label
_atom_site_type_symbol
_atom_site_fract_x
_atom_site_fract_y
_atom_site_fract_z
_atom_site_occupancy
Ca1 Ca 0.250 0.179 0.000 1
Pt1 Pt 0.250 0.612 0.814 1
W1 W 0.250 0.590 0.165 1
```